Arrangement a

Here is a relaxed TbDyCo crystal from Alexandria via LeMat-Bulk. Energies are from PBE.

a = 3.3719 Å, b = 3.3719 Å, c = 12.6626 Å
α = 90.00°, β = 90.00°, γ = 90.00°
Fractional positions:
Tb (0.0000, 0.0000, 0.0000)
Tb (0.5000, 0.5000, 0.5000)
Dy (0.0000, 0.0000, 0.2558)
Dy (0.5000, 0.5000, 0.7558)
Co (0.0000, 0.0000, 0.6288)
Co (0.5000, 0.5000, 0.1288)

## Properties
**Symmetry**: I4mm


Arrangement b

Here is a relaxed TbDyCo crystal from Alexandria via LeMat-Bulk. Energies are from PBE.

a = 3.8791 Å, b = 3.8791 Å, c = 6.1598 Å
α = 90.00°, β = 90.00°, γ = 120.00°
Fractional positions:
Tb (0.0000, 0.0000, 0.0000)
Dy (0.6667, 0.3333, 0.5352)
Co (0.3333, 0.6667, 0.7667)

## Properties
**Symmetry**: P3m1


From most stable to least stable, the computed energies give arrangement a, arrangement b.